Material: ScPPtO
Method: DFT, PBE-GGA
State: relaxed

Unit cell a=3.007 b=6.936 c=5.767 alpha=90.00 beta=90.00 gamma=90.00
Fractional coordinates of all 8 atoms:
Sc (0.000, 0.064, 0.000)
Sc (0.000, 0.936, 0.500)
P (0.000, 0.336, 0.358)
P (0.000, 0.664, 0.858)
Pt (0.500, 0.446, 0.060)
Pt (0.500, 0.554, 0.560)
O (0.500, 0.040, 0.739)
O (0.500, 0.960, 0.239)

Properties
- theoretical density (g/cm3) = 7.92
- symmetry = Pmc2_1, No. 26
- crystal system = orthorhombic
- final energy (eV per atom) = -7.38

Material: SiPPtO
Method: DFT, PBE-GGA
State: relaxed

Unit cell a=4.091 b=4.091 c=7.444 alpha=90.00 beta=90.00 gamma=90.00
Fractional coordinates of all 8 atoms:
Si (0.250, 0.750, 0.000)
Si (0.750, 0.250, 0.000)
P (0.250, 0.250, 0.159)
P (0.750, 0.750, 0.841)
Pt (0.250, 0.250, 0.573)
Pt (0.750, 0.750, 0.427)
O (0.250, 0.750, 0.500)
O (0.750, 0.250, 0.500)

Properties
- theoretical density (g/cm3) = 7.20
- symmetry = P4/nmm, No. 129
- crystal system = tetragonal
- final energy (eV per atom) = -5.20